First-principles (GGA+U) data for AcTbV2O8 after structural relaxation, as listed in Alexandria.

Computed properties:
- total energy (eV/f.u.) = -95.93
- symmetry = I-4m2

a b c (Å): 6.2273 6.2273 6.2273
angles (deg): 106.13 106.13 116.38
Element x y z (fractional)
O (0.4769, 0.6623, 0.8146)
O (0.9275, 0.2546, 0.3271)
O (0.7454, 0.0725, 0.6729)
O (0.3377, 0.1522, 0.8146)
O (0.3377, 0.5231, 0.1854)
O (0.3996, 0.0725, 0.3271)
O (0.9275, 0.6004, 0.6729)
O (0.8478, 0.6623, 0.1854)
V (0.5000, 0.5000, 0.0000)
V (0.7500, 0.2500, 0.5000)
Tb (0.2500, 0.7500, 0.5000)
Ac (0.0000, 0.0000, 0.0000)